Entry 1:
Density functional theory data (PBE-GGA) for crystalline NbTcPt at its relaxed geometry.

a b c (Å): 4.4943 5.3061 5.3061
angles (deg): 96.50 64.94 64.94
Closest atoms and distances in Å follow each position.
Fractional positions:
Pt: 0.7492 0.7508 0.7508  2 Pt 2.72-2.74, 6 Nb 2.90-2.98, 6 Tc 2.91-3.04
Nb: 0.5000 0.6757 0.3243  4 Tc 2.61-2.73, 1 Nb 2.78, 2 Pt 2.90
Nb: 0.5000 0.3243 0.6757  4 Tc 2.61-2.73, 1 Nb 2.78, 2 Pt 2.90
Tc: 0.0000 0.1571 0.8429  1 Tc 2.49, 4 Nb 2.61-2.73
Pt: 0.2508 0.2492 0.2492  2 Pt 2.72-2.74, 6 Nb 2.90-2.98, 6 Tc 2.91-3.04
Tc: 0.0000 0.8429 0.1571  1 Tc 2.49, 4 Nb 2.61-2.73

Summary:
- Volume: 16.2 A^3/atom
- Energy of formation: -0.16 eV/atom
- Crystal system: orthorhombic
- Space group: No. 71

***

Entry 2:
Density functional theory data (PBE-GGA) for crystalline Ba3Al2Pb4 at its relaxed geometry.

a b c (Å): 4.8379 7.2162 11.7089
angles (deg): 57.45 78.08 70.41
Closest atoms and distances in Å follow each position.
Fractional positions:
Pb: 0.2521 0.3997 0.0962  1 Al 2.84, 2 Pb 3.08
Ba: 0.6581 0.3446 0.3392  1 Al 3.46, 5 Pb 3.56-3.61
Ba: 0.3419 0.6554 0.6608  1 Al 3.46, 5 Pb 3.56-3.61
Pb: 0.7479 0.6003 0.9038  1 Al 2.84, 2 Pb 3.08
Al: 0.4197 0.9148 0.2457  3 Pb 2.84-2.86
Pb: 0.9158 0.7683 0.4000  2 Al 2.86, 1 Pb 3.17
Ba: 0.0000 0.0000 0.0000  4 Al 3.53, 2 Pb 3.65
Al: 0.5803 0.0852 0.7543  3 Pb 2.84-2.86
Pb: 0.0842 0.2317 0.6000  2 Al 2.86, 1 Pb 3.17

Summary:
- Volume: 36.0 A^3/atom
- Energy of formation: -0.35 eV/atom
- Excess energy over the best structure of this formula in the dataset: 0.0373 eV per atom
- Crystal system: monoclinic
- Space group: No. 12

***

Entry 3:
Density functional theory data (PBE-GGA) for crystalline CeAgHg at its relaxed geometry.

a b c (Å): 5.0004 8.6700 6.5499
angles (deg): 90.00 90.00 90.00
Closest atoms and distances in Å follow each position.
Fractional positions:
Hg: 0.2500 0.4169 0.7505  3 Ag 2.89
Hg: 0.7500 0.9169 0.7495  3 Ag 2.89
Hg: 0.7500 0.5831 0.2495  3 Ag 2.89
Ag: 0.7500 0.9165 0.2503  3 Hg 2.89
Ag: 0.7500 0.5835 0.7503  3 Hg 2.89
Ag: 0.2500 0.0835 0.7497  3 Hg 2.89
Ce: 0.7500 0.2503 0.5003  2 Ce 3.27, 6 Ag 3.32-3.33, 6 Hg 3.32
Ag: 0.2500 0.4165 0.2497  3 Hg 2.89
Hg: 0.2500 0.0831 0.2505  3 Ag 2.89
Ce: 0.7500 0.2497 0.0003  2 Ce 3.27, 6 Ag 3.32-3.33, 6 Hg 3.32
Ce: 0.2500 0.7497 0.4997  2 Ce 3.27, 6 Ag 3.32-3.33, 6 Hg 3.32
Ce: 0.2500 0.7503 0.9997  2 Ce 3.27, 6 Ag 3.32-3.33, 6 Hg 3.32

Summary:
- Volume: 23.7 A^3/atom
- Energy of formation: -0.30 eV/atom
- Excess energy over the best structure of this formula in the dataset: 0.0000 eV per atom
- Crystal system: orthorhombic
- Space group: No. 62

***

Number 1: N(E_F) 0.7801 states/eV/atom. Number 2: N(E_F) 0.5283 states/eV/atom. Number 3: N(E_F) 1.7804 states/eV/atom.